Entry 1:
{"formula": "RhAu", "functional": "PBE-GGA", "state": "relaxed", "lattice_angstrom": [[-1.9998, 1.9998, 4.0385], [1.9998, -1.9998, 4.0385], [1.9998, 1.9998, -4.0385]], "species": ["Au", "Au", "Rh", "Rh"], "fractional_positions": [[0.0000, 0.0000, 0.0000], [0.7500, 0.2500, 0.5000], [0.5000, 0.5000, 0.0000], [0.2500, 0.7500, 0.5000]], "formation_enthalpy_0k_ev_per_fu": 0.366}



Entry 2:
{"formula": "Ba2Zn2Cd", "functional": "PBE-GGA", "state": "relaxed", "lattice_angstrom": [[-9.2039, -0.0613, 2.8094], [1.4460, -8.3528, 4.5549], [0.9859, 1.9553, 3.2726]], "species": ["Ba", "Ba", "Ba", "Ba", "Cd", "Cd", "Zn", "Zn", "Zn", "Zn"], "fractional_positions": [[0.1888, 0.3112, 0.0000], [0.3112, 0.8112, 0.0000], [0.8112, 0.6888, 0.0000], [0.6888, 0.1888, 0.0000], [0.0000, 0.0000, 0.0000], [0.5000, 0.5000, 0.0000], [0.0967, 0.5967, 0.5000], [0.4033, 0.0967, 0.5000], [0.5967, 0.9033, 0.5000], [0.9033, 0.4033, 0.5000]], "formation_enthalpy_0k_ev_per_fu": 0.009}



Entry 3:
{"formula": "AlCr2Ag", "functional": "PBE-GGA", "state": "relaxed", "lattice_angstrom": [[-4.0482, 0.6492, 0.8656], [-0.5227, -2.5310, -0.5460], [0.4341, -3.2178, 4.4437]], "species": ["Ag", "Al", "Cr", "Cr"], "fractional_positions": [[0.5000, 0.2500, 0.2500], [0.5000, 0.7500, 0.7500], [0.0000, 0.4914, 0.5400], [0.0000, 0.0086, 0.9600]], "formation_enthalpy_0k_ev_per_fu": 1.141}



Entry 4:
{"formula": "Zr2GeN", "functional": "PBE-GGA", "state": "relaxed", "lattice_angstrom": [[3.2942, 0.0000, 0.0000], [-1.6471, 2.8636, -0.2115], [0.0000, -1.3099, 6.9904]], "species": ["N", "Ge", "Zr", "Zr"], "fractional_positions": [[0.5000, 0.0000, 0.0000], [0.0000, 0.0000, 0.5000], [0.2233, 0.4465, 0.1817], [0.7767, 0.5535, 0.8183]], "e_form_raw_ev_per_atom": -1.0921}



Entry 5:
{"formula": "CaAg3Ru", "functional": "PBE-GGA", "state": "relaxed", "lattice_angstrom": [[5.0443, 0.0000, 0.0000], [0.0000, 5.0443, 0.0000], [0.0000, 0.0000, 5.0443]], "species": ["Ag", "Ag", "Ag", "Ca", "Ru"], "fractional_positions": [[0.0000, 0.5000, 0.0000], [0.5000, 0.0000, 0.0000], [0.0000, 0.0000, 0.5000], [0.0000, 0.0000, 0.0000], [0.5000, 0.5000, 0.5000]], "formation_enthalpy_0k_ev_per_fu": 7.875}



Entry 6:
{"formula": "CoOs2Cl", "functional": "PBE-GGA", "state": "relaxed", "lattice_angstrom": [[2.8174, 0.0000, 0.0000], [0.0000, 2.8174, 0.0000], [0.0000, 0.0000, 7.2601]], "species": ["Co", "Os", "Os", "Cl"], "fractional_positions": [[0.5000, 0.5000, 0.7486], [0.5000, 0.5000, 0.2302], [0.0000, 0.0000, 0.0005], [0.0000, 0.0000, 0.5207]], "e_form_raw_ev_per_atom": 0.5969}



Entry 7:
{"formula": "GeSeS2Cl", "functional": "PBE-GGA", "state": "relaxed", "lattice_angstrom": [[4.9258, 0.0000, 0.0000], [0.0000, 4.9258, 0.0000], [0.0000, 0.0000, 4.7305]], "species": ["Se", "Ge", "S", "S", "Cl"], "fractional_positions": [[0.0000, 0.0000, 0.0000], [0.5000, 0.5000, 0.5000], [0.5000, 0.0000, 0.0000], [0.0000, 0.5000, 0.0000], [0.0000, 0.0000, 0.5000]], "e_form_raw_ev_per_atom": 0.4305}



Entry 8:
{"formula": "HfVTcPt", "functional": "PBE-GGA", "state": "relaxed", "lattice_angstrom": [[4.5105, 0.0000, 0.0000], [2.2553, 3.9062, 0.0000], [2.2553, 1.3021, 3.6828]], "species": ["Tc", "Pt", "Hf", "V"], "fractional_positions": [[0.5000, 0.5000, 0.5000], [0.0000, 0.0000, 0.0000], [0.7500, 0.7500, 0.7500], [0.2500, 0.2500, 0.2500]], "formation_enthalpy_0k_ev_per_fu": -1.904}



Entry 9:
{"formula": "BiTeN2", "functional": "PBE-GGA", "state": "relaxed", "lattice_angstrom": [[-1.0803, -3.5736, 2.4202], [-4.2472, -1.2949, 0.2818], [-1.3251, -3.7366, -2.0192]], "species": ["Te", "N", "N", "Bi"], "fractional_positions": [[0.0000, 0.0000, 0.0000], [0.2500, 0.2500, 0.2500], [0.7500, 0.7500, 0.7500], [0.5000, 0.5000, 0.5000]], "e_form_raw_ev_per_atom": 1.5659}



Entry 10:
{"formula": "LiAg6", "functional": "PBE-GGA", "state": "relaxed", "lattice_angstrom": [[4.3792, 0.0000, 1.5032], [1.9316, 3.9302, 1.5032], [-0.0085, -0.0053, 7.1553]], "species": ["Ag", "Ag", "Ag", "Ag", "Ag", "Ag", "Li"], "fractional_positions": [[0.5717, 0.5717, 0.2850], [0.7123, 0.7123, 0.8630], [0.2877, 0.2877, 0.1370], [0.8577, 0.8577, 0.4269], [0.4283, 0.4283, 0.7150], [0.1423, 0.1423, 0.5731], [0.0000, 0.0000, 0.0000]], "formation_enthalpy_0k_ev_per_fu": -0.253}



Entry 11:
{"formula": "ThSnPt", "functional": "PBE-GGA", "state": "relaxed", "lattice_angstrom": [[-0.4831, 0.9123, -3.8259], [0.9250, -3.7201, -1.0039], [-6.2469, -0.1967, 2.7941]], "species": ["Pt", "Sn", "Th"], "fractional_positions": [[0.7240, 0.7240, 0.4481], [0.9340, 0.9340, 0.8680], [0.1920, 0.1920, 0.3839]], "formation_enthalpy_0k_ev_per_fu": -1.211}



Entry 12:
{"formula": "Ac3Co5H12", "functional": "PBE-GGA", "state": "relaxed", "lattice_angstrom": [[-2.6884, -8.9451, 4.2256], [2.3662, -1.4564, -9.8680], [8.1377, 3.8043, 4.9400]], "species": ["Ac", "Ac", "Ac", "Ac", "Ac", "Ac", "Ac", "Ac", "Ac", "Ac", "Ac", "Ac", "Co", "Co", "Co", "Co", "Co", "Co", "Co", "Co", "Co", "Co", "Co", "Co", "Co", "Co", "Co", "Co", "Co", "Co", "Co", "Co", "H", "H", "H", "H", "H", "H", "H", "H", "H", "H", "H", "H", "H", "H", "H", "H", "H", "H", "H", "H", "H", "H", "H", "H", "H", "H", "H", "H", "H", "H", "H", "H", "H", "H", "H", "H", "H", "H", "H", "H", "H", "H", "H", "H", "H", "H", "H", "H"], "fractional_positions": [[0.6250, 0.2500, 0.3750], [0.8750, 0.7500, 0.1250], [0.2500, 0.6250, 0.8750], [0.7500, 0.3750, 0.1250], [0.6250, 0.3750, 0.7500], [0.1250, 0.8750, 0.7500], [0.1250, 0.2500, 0.8750], [0.3750, 0.6250, 0.2500], [0.3750, 0.7500, 0.6250], [0.7500, 0.8750, 0.6250], [0.8750, 0.1250, 0.2500], [0.2500, 0.1250, 0.3750], [0.0000, 0.5000, 0.0000], [0.6250, 0.7500, 0.8750], [0.5000, 0.5000, 0.5000], [0.0000, 0.5000, 0.5000], [0.7500, 0.1250, 0.8750], [0.3750, 0.1250, 0.7500], [0.5000, 0.5000, 0.0000], [0.8750, 0.6250, 0.7500], [0.1250, 0.7500, 0.3750], [0.7500, 0.6250, 0.3750], [0.8750, 0.2500, 0.6250], [0.5000, 0.0000, 0.5000], [0.2500, 0.3750, 0.6250], [0.3750, 0.2500, 0.1250], [0.0000, 0.0000, 0.5000], [0.5000, 0.0000, 0.0000], [0.0000, 0.0000, 0.0000], [0.1250, 0.3750, 0.2500], [0.6250, 0.8750, 0.2500], [0.2500, 0.8750, 0.1250], [0.4155, 0.0114, 0.8296], [0.0860, 0.1819, 0.1704], [0.0845, 0.4140, 0.0959], [0.9155, 0.5860, 0.9041], [0.3296, 0.4140, 0.8181], [0.6704, 0.5860, 0.1819], [0.9041, 0.0860, 0.9155], [0.1704, 0.6819, 0.0860], [0.1704, 0.4886, 0.5845], [0.5845, 0.5959, 0.9140], [0.4155, 0.4041, 0.0860], [0.4140, 0.0845, 0.5959], [0.5959, 0.5845, 0.4140], [0.5860, 0.6704, 0.6819], [0.3181, 0.8296, 0.4140], [0.9886, 0.5845, 0.6704], [0.9886, 0.4041, 0.8181], [0.9041, 0.8181, 0.4886], [0.6819, 0.1704, 0.5860], [0.9140, 0.8181, 0.8296], [0.8296, 0.3181, 0.9140], [0.8181, 0.9140, 0.3296], [0.9155, 0.3296, 0.5114], [0.0959, 0.1819, 0.5114], [0.6819, 0.5114, 0.5959], [0.4886, 0.3181, 0.9041], [0.4140, 0.3296, 0.3181], [0.1819, 0.0860, 0.6704], [0.0860, 0.9041, 0.4155], [0.9140, 0.0959, 0.5845], [0.4886, 0.1704, 0.0845], [0.1819, 0.0959, 0.0114], [0.5114, 0.8296, 0.9155], [0.8296, 0.5114, 0.4155], [0.5860, 0.9155, 0.4041], [0.6704, 0.0845, 0.9886], [0.3181, 0.4886, 0.4041], [0.0114, 0.4155, 0.3296], [0.3296, 0.9155, 0.0114], [0.0845, 0.6704, 0.4886], [0.4041, 0.9886, 0.3181], [0.0959, 0.9140, 0.0845], [0.5114, 0.6819, 0.0959], [0.5845, 0.9886, 0.1704], [0.5959, 0.0114, 0.6819], [0.4041, 0.4155, 0.5860], [0.8181, 0.9041, 0.9886], [0.0114, 0.5959, 0.1819]]}



Entry 13:
{"formula": "ReSiTc", "functional": "PBE-GGA", "state": "relaxed", "lattice_angstrom": [[5.1212, 0.0000, -0.0094], [0.0000, 4.1315, 0.0000], [-4.4514, 0.0000, 7.8876]], "species": ["Si", "Si", "Si", "Si", "Re", "Re", "Re", "Re", "Tc", "Tc", "Tc", "Tc"], "fractional_positions": [[0.9687, 0.5000, 0.0684], [0.7256, 0.0000, 0.2255], [0.7256, 0.5000, 0.7255], [0.9687, 0.0000, 0.5684], [0.6050, 0.0000, 0.9127], [0.4611, 0.0000, 0.5646], [0.4611, 0.5000, 0.0646], [0.6050, 0.5000, 0.4127], [0.2289, 0.0000, 0.2239], [0.2289, 0.5000, 0.7239], [0.0619, 0.5000, 0.3762], [0.0619, 0.0000, 0.8762]], "e_form_raw_ev_per_atom": -0.2147}



Entry 14:
{"formula": "Pu6Ag", "functional": "PBE-GGA", "state": "relaxed", "lattice_angstrom": [[-3.1134, -2.7508, 4.0158], [5.5005, 0.3518, 1.7341], [-2.1203, 5.3194, -0.7714]], "species": ["Pu", "Pu", "Pu", "Pu", "Pu", "Pu", "Ag"], "fractional_positions": [[0.2500, 0.5000, 0.7500], [0.5000, 0.7500, 0.2500], [0.7500, 0.2500, 0.5000], [0.5000, 0.2500, 0.7500], [0.2500, 0.7500, 0.5000], [0.7500, 0.5000, 0.2500], [0.0000, 0.0000, 0.0000]], "formation_enthalpy_0k_ev_per_fu": 2.831}



Entry 15:
{"formula": "Li2CoOs", "functional": "PBE-GGA", "state": "relaxed", "lattice_angstrom": [[-1.1251, 0.3915, 3.8787], [-1.5418, -3.7526, -0.0644], [3.8644, 0.6262, -1.0666]], "species": ["Os", "Li", "Li", "Co"], "fractional_positions": [[0.5000, 0.5000, 0.0000], [0.0000, 0.0000, 0.0000], [0.2500, 0.7500, 0.5000], [0.7500, 0.2500, 0.5000]], "formation_enthalpy_0k_ev_per_fu": 1.170}



Entry 16:
{"formula": "InOs2Pb", "functional": "PBE-GGA", "state": "relaxed", "lattice_angstrom": [[0.0000, 3.2966, 3.2966], [3.2966, 0.0000, 3.2966], [3.2966, 3.2966, 0.0000]], "species": ["Os", "Os", "In", "Pb"], "fractional_positions": [[0.2500, 0.2500, 0.2500], [0.7500, 0.7500, 0.7500], [0.0000, 0.0000, 0.0000], [0.5000, 0.5000, 0.5000]], "formation_enthalpy_0k_ev_per_fu": 3.402}



Entry 17:
{"formula": "Fe3Ir2", "functional": "PBE-GGA", "state": "relaxed", "lattice_angstrom": [[10.4816, -1.3541, -0.0217], [10.4816, 1.3541, -0.0217], [10.3115, 0.0000, 2.3174]], "species": ["Fe", "Fe", "Fe", "Ir", "Ir"], "fractional_positions": [[0.0000, 0.0000, 0.0000], [0.1979, 0.1979, 0.1979], [0.8021, 0.8021, 0.8021], [0.5988, 0.5988, 0.5988], [0.4012, 0.4012, 0.4012]], "formation_enthalpy_0k_ev_per_fu": 0.245}



Entry 18:
{"formula": "Nb3CrSe", "functional": "PBE-GGA", "state": "relaxed", "lattice_angstrom": [[4.7016, 0.0000, 0.0000], [0.0000, 4.7016, 0.0000], [0.0000, 0.0000, 4.7016]], "species": ["Nb", "Nb", "Nb", "Se", "Cr"], "fractional_positions": [[0.5000, 0.0000, 0.0000], [0.0000, 0.5000, 0.0000], [0.0000, 0.0000, 0.5000], [0.0000, 0.0000, 0.0000], [0.5000, 0.5000, 0.5000]], "e_form_raw_ev_per_atom": 1.1065}



Entry 19:
{"formula": "BiMoPb2", "functional": "PBE-GGA", "state": "relaxed", "lattice_angstrom": [[-2.0755, 2.6947, -2.8528], [-1.3232, -3.5188, -2.3611], [-11.1297, -1.0593, 3.6427]], "species": ["Pb", "Pb", "Pb", "Pb", "Mo", "Mo", "Bi", "Bi"], "fractional_positions": [[0.1352, 0.6250, 0.2500], [0.8750, 0.8648, 0.7500], [0.6148, 0.1250, 0.2500], [0.3750, 0.3852, 0.7500], [0.5000, 0.5000, 0.0000], [0.2500, 0.7500, 0.5000], [0.7500, 0.2500, 0.5000], [0.0000, 0.0000, 0.0000]], "formation_enthalpy_0k_ev_per_fu": 3.114}



Entry 20:
{"formula": "TbCl2", "functional": "PBE-GGA", "state": "relaxed", "lattice_angstrom": [[-2.7751, 1.1323, -2.2475], [-1.1592, -2.2007, -2.8003], [-4.6130, -4.8526, 3.2354]], "species": ["Cl", "Cl", "Tb"], "fractional_positions": [[0.7608, 0.4908, 0.2570], [0.2498, 0.5106, 0.7318], [0.5053, 0.0007, 0.4944]], "e_form_raw_ev_per_atom": -1.9290}



The total magnetic moment results, record by record, are as follows: 0.98, 0.00, 0.00, 0.00, 1.31, 1.79, 0.00, 1.77, 0.00, 0.00, 0.00, 0.60, 0.00, 0.00, 0.97, 0.00, 8.36, 0.70, 2.50, 0.00 μB per formula unit.
The theoretical density results, record by record, are as follows: 15.42, 4.72, 7.03, 6.87, 6.01, 13.68, 3.63, 13.37, 9.72, 8.82, 9.24, 7.91, 12.44, 17.58, 9.25, 16.28, 13.81, 6.55, 10.70, 4.41 g/cm³.
The energy results, record by record, are as follows: -20.53, -14.60, -24.70, -34.41, -11.96, -29.02, -16.05, -37.38, -17.41, -19.27, -18.67, -359.76, -115.52, -86.01, -20.99, -25.50, -42.86, -37.78, -38.03, -14.11 eV per cell.